Entry from OQMD: AlAu2 after structural relaxation (PBE).

The space group is Fd-3m (No. 227, origin choice 2) and the conventional cell measures 7.752, 7.752 and 7.752 Å, with angles of 90.00, 90.00 and 90.00 degrees. The inequivalent atoms are Al at (0.125, 0.125, 0.125) and Au at (0.000, 0.000, 0.500).

The raw total energy is -0.2445 Ry per atom. The crystal system is cubic.

***

Entry from OQMD: AlAu2 after structural relaxation (PBE).

The space group is I4/mmm (No. 139) and the conventional cell measures 3.361, 3.361 and 8.944 Å, with angles of 90.00, 90.00 and 90.00 degrees. The inequivalent atoms are Al at (0.000, 0.000, 0.000) and Au at (0.000, 0.000, 0.344).

The raw total energy is -0.2746 Ry per atom. The crystal system is tetragonal.

***

Entry from OQMD: AlBAu after structural relaxation (PBE).

The space group is F-43m (No. 216) and the conventional cell measures 5.662, 5.662 and 5.662 Å, with angles of 90.00, 90.00 and 90.00 degrees. The inequivalent atoms are Al at (0.000, 0.000, 0.000), B at (0.000, 0.000, 0.500) and Au at (0.250, 0.250, 0.250).

The raw total energy is -0.3004 Ry per atom. The crystal system is cubic.

***

- The lowest raw total energy belongs to which entry?
  AlBAu

***

- What is the raw total energy in the first record?
  -0.2445 Ry per atom

***

Please write out number 3 again, unchanged.
Entry from OQMD: AlBAu after structural relaxation (PBE).

The space group is F-43m (No. 216) and the conventional cell measures 5.662, 5.662 and 5.662 Å, with angles of 90.00, 90.00 and 90.00 degrees. The inequivalent atoms are Al at (0.000, 0.000, 0.000), B at (0.000, 0.000, 0.500) and Au at (0.250, 0.250, 0.250).

The raw total energy is -0.3004 Ry per atom. The crystal system is cubic.